[1]
{"formula": "SrAc3Si", "functional": "PBE-GGA", "state": "relaxed", "lattice": [[-1.902, 5.593, -1.711], [-4.738, -2.528, -2.997], [-3.429, 0.391, 5.090]], "species": ["Sr", "Ac", "Ac", "Ac", "Si"], "frac_coords": [[0.500, 0.500, 0.500], [0.000, 0.500, 0.000], [0.000, 0.000, 0.500], [0.500, 0.000, 0.000], [0.000, 0.000, 0.000]]}

***

[2]
{"formula": "SrAcSi4", "functional": "PBE-GGA", "state": "relaxed", "lattice": [[-3.021, -1.039, 4.773], [0.858, -4.858, 2.941], [2.584, 0.164, 5.126]], "species": ["Sr", "Ac", "Si", "Si", "Si", "Si"], "frac_coords": [[0.250, 0.250, 0.250], [0.000, 0.000, 0.000], [0.639, 0.639, 0.082], [0.639, 0.082, 0.639], [0.639, 0.639, 0.639], [0.082, 0.639, 0.639]], "polymorph_energy_mev_per_atom": 241.7}

***

[3]
{"formula": "SrAc2Si2", "functional": "PBE-GGA", "state": "relaxed", "lattice": [[4.739, 0.000, 0.000], [0.000, 8.149, 0.000], [0.000, 0.000, 8.149]], "species": ["Sr", "Sr", "Ac", "Ac", "Ac", "Ac", "Si", "Si", "Si", "Si"], "frac_coords": [[0.000, 0.000, 0.000], [0.000, 0.500, 0.500], [0.500, 0.177, 0.677], [0.500, 0.677, 0.823], [0.500, 0.823, 0.323], [0.500, 0.323, 0.177], [0.000, 0.393, 0.893], [0.000, 0.893, 0.607], [0.000, 0.607, 0.107], [0.000, 0.107, 0.393]], "polymorph_energy_mev_per_atom": 0.0}

***

[4]
{"formula": "SrAcSi2", "functional": "PBE-GGA", "state": "relaxed", "lattice": [[4.455, 0.000, -1.621], [0.000, 4.064, 0.000], [-0.241, 0.000, 6.268]], "species": ["Sr", "Ac", "Si", "Si"], "frac_coords": [[0.724, 0.000, 0.987], [0.440, 0.500, 0.419], [0.148, 0.500, 0.834], [0.019, 0.000, 0.577]]}

***

[5]
{"formula": "SrAcSi", "functional": "PBE-GGA", "state": "relaxed", "lattice": [[-2.255, -3.318, 0.952], [-1.307, -0.391, -4.457], [9.677, -6.526, 0.172]], "species": ["Sr", "Sr", "Ac", "Ac", "Si", "Si"], "frac_coords": [[0.250, 0.310, 0.619], [0.750, 0.690, 0.381], [0.250, 0.073, 0.147], [0.750, 0.927, 0.853], [0.250, 0.468, 0.936], [0.750, 0.532, 0.064]], "polymorph_energy_mev_per_atom": 0.0}

***

[6]
{"formula": "SrAcSi", "functional": "PBE-GGA", "state": "relaxed", "lattice": [[-0.137, -1.181, 5.241], [0.436, -4.855, -1.083], [4.089, 2.772, 0.732]], "species": ["Sr", "Ac", "Si"], "frac_coords": [[0.742, 0.667, 0.333], [0.227, 0.333, 0.667], [0.031, 0.000, 0.000]], "polymorph_energy_mev_per_atom": 229.3}

***

[7]
{"formula": "SrAcSi2", "functional": "PBE-GGA", "state": "relaxed", "lattice": [[-2.103, -0.205, -3.502], [-1.625, -5.850, 1.318], [-7.203, 2.937, 4.155]], "species": ["Sr", "Sr", "Ac", "Ac", "Si", "Si", "Si", "Si"], "frac_coords": [[0.500, 0.361, 0.321], [0.500, 0.639, 0.821], [0.000, 0.144, 0.681], [0.000, 0.856, 0.181], [0.000, 0.644, 0.530], [0.000, 0.356, 0.030], [0.500, 0.865, 0.469], [0.500, 0.135, 0.969]]}

***

[8]
{"formula": "SrAc3Si4", "functional": "PBE-GGA", "state": "relaxed", "lattice": [[-2.739, 3.513, -0.232], [-5.129, -3.894, 1.582], [5.298, 1.808, 7.723]], "species": ["Sr", "Ac", "Ac", "Ac", "Si", "Si", "Si", "Si"], "frac_coords": [[0.500, 0.000, 0.000], [0.000, 0.500, 0.000], [0.195, 0.195, 0.391], [0.805, 0.805, 0.609], [0.369, 0.544, 0.737], [0.631, 0.456, 0.263], [0.631, 0.807, 0.263], [0.369, 0.193, 0.737]]}

***

[9]
{"formula": "SrAc2Si2", "functional": "PBE-GGA", "state": "relaxed", "lattice": [[-5.905, -2.333, -0.484], [4.353, -1.309, -4.914], [1.952, -6.158, 5.866]], "species": ["Sr", "Sr", "Ac", "Ac", "Ac", "Ac", "Si", "Si", "Si", "Si"], "frac_coords": [[0.871, 0.000, 0.250], [0.129, 0.000, 0.750], [0.511, 0.304, 0.148], [0.207, 0.696, 0.352], [0.489, 0.696, 0.852], [0.793, 0.304, 0.648], [0.684, 0.675, 0.494], [0.009, 0.325, 0.006], [0.316, 0.325, 0.506], [0.991, 0.675, 0.994]], "polymorph_energy_mev_per_atom": 105.4}

***

[10]
{"formula": "SrAcSi3", "functional": "PBE-GGA", "state": "relaxed", "lattice": [[4.097, 0.000, 0.000], [0.000, 4.727, 0.000], [0.000, -2.363, 12.900]], "species": ["Sr", "Sr", "Ac", "Ac", "Si", "Si", "Si", "Si", "Si", "Si"], "frac_coords": [[0.250, 0.798, 0.596], [0.750, 0.202, 0.404], [0.250, 0.070, 0.139], [0.750, 0.930, 0.861], [0.250, 0.383, 0.766], [0.750, 0.617, 0.234], [0.250, 0.477, 0.954], [0.750, 0.523, 0.046], [0.750, 0.331, 0.662], [0.250, 0.669, 0.338]]}

***

[11]
{"formula": "SrAcSi2", "functional": "PBE-GGA", "state": "relaxed", "lattice": [[3.615, 0.000, 0.000], [0.000, 3.615, 0.000], [0.000, 0.000, 8.487]], "species": ["Sr", "Ac", "Si", "Si"], "frac_coords": [[0.500, 0.500, 0.500], [0.500, 0.500, 0.000], [0.000, 0.000, 0.752], [0.000, 0.000, 0.248]]}

***

[12]
{"formula": "SrAcSi4", "functional": "PBE-GGA", "state": "relaxed", "lattice": [[4.607, 0.000, 0.000], [0.000, 7.349, 0.000], [0.000, 0.000, 16.557]], "species": ["Sr", "Sr", "Sr", "Sr", "Ac", "Ac", "Ac", "Ac", "Si", "Si", "Si", "Si", "Si", "Si", "Si", "Si", "Si", "Si", "Si", "Si", "Si", "Si", "Si", "Si"], "frac_coords": [[0.000, 0.750, 0.062], [0.000, 0.250, 0.938], [0.000, 0.250, 0.438], [0.000, 0.750, 0.562], [0.000, 0.750, 0.313], [0.000, 0.250, 0.687], [0.000, 0.250, 0.187], [0.000, 0.750, 0.813], [0.500, 0.916, 0.187], [0.500, 0.084, 0.813], [0.500, 0.416, 0.313], [0.500, 0.584, 0.687], [0.500, 0.085, 0.062], [0.500, 0.915, 0.938], [0.500, 0.585, 0.438], [0.500, 0.415, 0.562], [0.500, 0.915, 0.438], [0.500, 0.085, 0.562], [0.500, 0.415, 0.062], [0.500, 0.585, 0.938], [0.500, 0.083, 0.313], [0.500, 0.917, 0.687], [0.500, 0.583, 0.187], [0.500, 0.417, 0.813]], "polymorph_energy_mev_per_atom": 0.0}

***

[13]
{"formula": "SrAc2Si", "functional": "PBE-GGA", "state": "relaxed", "lattice": [[-1.427, 4.134, 0.223], [-1.043, 1.750, 3.877], [9.486, 5.454, 2.565]], "species": ["Sr", "Ac", "Ac", "Si"], "frac_coords": [[0.500, 0.500, 0.499], [0.054, 0.054, 0.837], [0.279, 0.279, 0.163], [0.666, 0.666, 0.001]], "polymorph_energy_mev_per_atom": 53.3}

***

[14]
{"formula": "Sr2AcSi6", "functional": "PBE-GGA", "state": "relaxed", "lattice": [[-1.477, -4.388, 0.289], [6.371, -1.964, 2.736], [-5.321, 2.080, 4.392]], "species": ["Sr", "Sr", "Ac", "Si", "Si", "Si", "Si", "Si", "Si"], "frac_coords": [[0.000, 0.333, 0.667], [0.000, 0.667, 0.333], [0.000, 0.000, 0.000], [0.500, 0.333, 0.333], [0.500, 0.667, 0.667], [0.500, 0.000, 0.667], [0.500, 0.667, 0.000], [0.500, 0.333, 0.000], [0.500, 0.000, 0.333]]}

***

[15]
{"formula": "SrAc2Si", "functional": "PBE-GGA", "state": "relaxed", "lattice": [[3.998, 0.000, 0.000], [0.000, 3.998, 0.000], [0.000, 0.000, 10.004]], "species": ["Sr", "Ac", "Ac", "Si"], "frac_coords": [[0.500, 0.500, 0.500], [0.000, 0.000, 0.835], [0.000, 0.000, 0.165], [0.500, 0.500, 0.000]], "polymorph_energy_mev_per_atom": 69.0}

***

[16]
{"formula": "SrAc2Si", "functional": "PBE-GGA", "state": "relaxed", "lattice": [[4.373, 0.000, 0.000], [2.186, 3.787, 0.000], [2.186, 1.262, 10.960]], "species": ["Sr", "Ac", "Ac", "Si"], "frac_coords": [[0.500, 0.500, 0.500], [0.279, 0.279, 0.163], [0.721, 0.721, 0.837], [0.000, 0.000, 0.000]], "polymorph_energy_mev_per_atom": 52.4}

***

[17]
{"formula": "Sr2AcZn2Si2", "functional": "PBE-GGA", "state": "relaxed", "lattice": [[4.292, 0.000, 0.000], [2.146, 3.717, 0.000], [2.146, 1.239, 12.807]], "species": ["Sr", "Sr", "Ac", "Zn", "Zn", "Si", "Si"], "frac_coords": [[0.118, 0.118, 0.646], [0.882, 0.882, 0.354], [0.000, 0.000, 0.000], [0.607, 0.607, 0.178], [0.393, 0.393, 0.822], [0.726, 0.726, 0.822], [0.274, 0.274, 0.178]]}

***

[18]
{"formula": "AcTbSi", "functional": "PBE-GGA", "state": "relaxed", "lattice": [[4.197, -0.002, -0.003], [2.095, 5.272, 0.228], [2.091, 0.359, 8.604]], "species": ["Ac", "Ac", "Tb", "Tb", "Si", "Si"], "frac_coords": [[0.867, 0.436, 0.704], [0.268, 0.906, 0.437], [0.658, 0.376, 0.187], [0.478, 0.966, 0.955], [0.946, 0.807, 0.180], [0.190, 0.535, 0.961]], "polymorph_energy_mev_per_atom": 47.0}

***

[19]
{"formula": "AcTb2Si6", "functional": "PBE-GGA", "state": "relaxed", "lattice": [[4.130, 0.000, 0.000], [0.000, 6.257, -3.612], [0.000, 0.000, 7.225]], "species": ["Ac", "Tb", "Tb", "Si", "Si", "Si", "Si", "Si", "Si"], "frac_coords": [[0.000, 0.000, 0.000], [0.000, 0.333, 0.667], [0.000, 0.667, 0.333], [0.500, 0.340, 0.340], [0.500, 0.660, 0.660], [0.500, 0.000, 0.660], [0.500, 0.660, 0.000], [0.500, 0.340, 0.000], [0.500, 0.000, 0.340]]}

***

[20]
{"formula": "Ac2TbSi", "functional": "PBE-GGA", "state": "relaxed", "lattice": [[-0.141, 3.594, -3.232], [2.064, -3.065, -3.498], [-4.649, -1.481, -1.444]], "species": ["Ac", "Ac", "Tb", "Si"], "frac_coords": [[0.000, 0.000, 0.500], [0.000, 0.500, 0.000], [0.500, 0.500, 0.500], [0.500, 0.000, 0.000]], "polymorph_energy_mev_per_atom": 0.0}

***

[21]
{"formula": "AcTbSi2", "functional": "PBE-GGA", "state": "relaxed", "lattice": [[6.685, 0.000, 0.000], [0.000, 7.284, 0.000], [0.000, 0.000, 8.513]], "species": ["Ac", "Ac", "Ac", "Ac", "Tb", "Tb", "Tb", "Tb", "Si", "Si", "Si", "Si", "Si", "Si", "Si", "Si"], "frac_coords": [[0.750, 0.996, 0.321], [0.750, 0.496, 0.179], [0.250, 0.004, 0.679], [0.250, 0.504, 0.821], [0.750, 0.820, 0.812], [0.750, 0.320, 0.688], [0.250, 0.180, 0.188], [0.250, 0.680, 0.312], [0.937, 0.658, 0.539], [0.563, 0.158, 0.961], [0.437, 0.342, 0.461], [0.063, 0.842, 0.039], [0.063, 0.342, 0.461], [0.437, 0.842, 0.039], [0.563, 0.658, 0.539], [0.937, 0.158, 0.961]], "polymorph_energy_mev_per_atom": 0.0}

***

[22]
{"formula": "AcTbSi", "functional": "PBE-GGA", "state": "relaxed", "lattice": [[5.118, 0.000, 0.000], [2.559, 4.432, 0.000], [2.559, 1.477, 4.179]], "species": ["Ac", "Tb", "Si"], "frac_coords": [[0.500, 0.500, 0.500], [0.000, 0.000, 0.000], [0.250, 0.250, 0.250]], "polymorph_energy_mev_per_atom": 75.5}

***

[23]
{"formula": "AcTbSi2", "functional": "PBE-GGA", "state": "relaxed", "lattice": [[-2.152, 0.546, -4.143], [1.587, -2.280, -3.791], [-3.681, -5.047, -1.419]], "species": ["Ac", "Tb", "Si", "Si"], "frac_coords": [[0.000, 0.000, 0.000], [0.500, 0.500, 0.500], [0.770, 0.770, 0.691], [0.230, 0.230, 0.309]], "polymorph_energy_mev_per_atom": 223.1}

***

[24]
{"formula": "AcTbSi", "functional": "PBE-GGA", "state": "relaxed", "lattice": [[-3.187, -2.661, -1.521], [-1.947, -4.478, 5.484], [-5.873, 0.869, 4.355]], "species": ["Si", "Si", "Tb", "Tb", "Ac", "Ac"], "frac_coords": [[0.104, 0.395, 0.897], [0.896, 0.605, 0.103], [0.500, 0.263, 0.237], [0.500, 0.737, 0.763], [0.794, 0.206, 0.706], [0.206, 0.794, 0.294]], "polymorph_energy_mev_per_atom": 0.0}

***

[25]
{"formula": "AcTb4Si4", "functional": "PBE-GGA", "state": "relaxed", "lattice": [[5.717, 0.000, 0.000], [0.000, 9.448, 0.000], [0.000, 0.000, 9.448]], "species": ["Ac", "Ac", "Tb", "Tb", "Tb", "Tb", "Tb", "Tb", "Tb", "Tb", "Si", "Si", "Si", "Si", "Si", "Si", "Si", "Si"], "frac_coords": [[0.000, 0.000, 0.000], [0.500, 0.500, 0.500], [0.377, 0.360, 0.884], [0.877, 0.616, 0.860], [0.377, 0.640, 0.116], [0.123, 0.140, 0.616], [0.623, 0.884, 0.640], [0.123, 0.860, 0.384], [0.877, 0.384, 0.140], [0.623, 0.116, 0.360], [0.614, 0.810, 0.328], [0.614, 0.190, 0.672], [0.114, 0.828, 0.690], [0.886, 0.310, 0.828], [0.886, 0.690, 0.172], [0.386, 0.328, 0.190], [0.386, 0.672, 0.810], [0.114, 0.172, 0.310]]}

***

Going through the records in order, we get calculated total energy values of -3.93 -4.76 -4.66 -4.67 -4.08 -3.85 -4.66 -4.86 -4.56 -4.93 -4.39 -5.01 -4.01 -4.82 -3.99 -4.01 -3.41 -5.07 -5.61 -4.65 -5.53 -5.05 -5.31 -5.12 -5.42 eV/atom.
Going through the records in order, we get total magnetization values of 0.00 0.00 0.00 0.00 0.00 0.00 0.38 0.67 0.00 0.00 0.00 0.00 0.11 0.00 0.00 0.00 0.00 0.00 0.00 0.00 0.00 0.00 0.00 0.00 0.00 μB per formula unit.
Going through the records in order, we get formation energy (no corrections) values of -0.05 -0.18 -0.51 -0.51 -0.34 -0.11 -0.50 -0.40 -0.41 -0.51 -0.23 -0.43 -0.18 -0.38 -0.16 -0.18 -0.43 -0.35 -0.51 -0.08 -0.63 -0.32 -0.41 -0.40 -0.49 eV per atom.